No. 1
VASP calculation (GGA-PBE) on CdGa3Ru after structural relaxation.

Calculated values
Density   6.2 g/cm3
SG   No. 221
Offset from the most stable computed form   0.00 eV/f.u.
Total magnetic moment   0.0000 μB per atom
Volume   22.68 A^3/atom
DOS(E_F)   2.2 states/eV/f.u.
Formation energy from the elements   -0.029 eV/atom

abc: 4.840 4.840 4.840
angles: 90.00 90.00 90.00
Fractional coordinates of all 5 atoms:
Ga 0.000 0.500 0.000
Ga 0.500 0.000 0.000
Ga 0.000 0.000 0.500
Ru 0.000 0.000 0.000
Cd 0.500 0.500 0.500

No. 2
VASP calculation (GGA-PBE) on Cd2GaRu2 after structural relaxation.

Calculated values
Density   9.2 g/cm3
SG   No. 127
Total magnetic moment   0.1817 μB per atom
Volume   17.89 A^3/atom
DOS(E_F)   4.8 states/eV/f.u.
Formation energy from the elements   0.061 eV/atom

abc: 6.367 6.367 4.413
angles: 90.00 90.00 90.00
Fractional coordinates of all 10 atoms:
Cd 0.331 0.169 0.500
Cd 0.169 0.669 0.500
Cd 0.669 0.831 0.500
Cd 0.831 0.331 0.500
Ru 0.635 0.135 0.000
Ru 0.865 0.635 0.000
Ru 0.365 0.865 0.000
Ru 0.135 0.365 0.000
Ga 0.000 0.000 0.000
Ga 0.500 0.500 0.000

No. 3
VASP calculation (GGA-PBE) on CdGa2Ru2 after structural relaxation.

Calculated values
Density   9.5 g/cm3
SG   No. 127
Offset from the most stable computed form   0.00 eV/f.u.
Total magnetic moment   0.0000 μB per atom
Volume   15.91 A^3/atom
DOS(E_F)   4.4 states/eV/f.u.
Formation energy from the elements   -0.133 eV/atom

abc: 7.102 7.102 3.154
angles: 90.00 90.00 90.00
Fractional coordinates of all 10 atoms:
Ga 0.151 0.651 0.500
Ga 0.651 0.849 0.500
Ga 0.849 0.349 0.500
Ga 0.349 0.151 0.500
Ru 0.144 0.356 0.000
Ru 0.856 0.644 0.000
Ru 0.356 0.856 0.000
Ru 0.644 0.144 0.000
Cd 0.500 0.500 0.000
Cd 0.000 0.000 0.000

Repeat the third record exactly.
VASP calculation (GGA-PBE) on CdGa2Ru2 after structural relaxation.

Calculated values
Density   9.5 g/cm3
SG   No. 127
Offset from the most stable computed form   0.00 eV/f.u.
Total magnetic moment   0.0000 μB per atom
Volume   15.91 A^3/atom
DOS(E_F)   4.4 states/eV/f.u.
Formation energy from the elements   -0.133 eV/atom

abc: 7.102 7.102 3.154
angles: 90.00 90.00 90.00
Fractional coordinates of all 10 atoms:
Ga 0.151 0.651 0.500
Ga 0.651 0.849 0.500
Ga 0.849 0.349 0.500
Ga 0.349 0.151 0.500
Ru 0.144 0.356 0.000
Ru 0.856 0.644 0.000
Ru 0.356 0.856 0.000
Ru 0.644 0.144 0.000
Cd 0.500 0.500 0.000
Cd 0.000 0.000 0.000

> What is the density in the second record?

9.2 g/cm3

> Which of these has the highest DOS(E_F)?

Cd2GaRu2